Here is a relaxed structure of InSiAs2 from Alexandria via LeMat-Bulk. Energies are from PBE.

Density ... 6.0 g/cm3
Energy above the most stable polymorph in this dataset ... 0.379 eV/atom
Calculated total energy ... -15.78 eV for the cell shown
Space group ... Fm-3m, No. 225

Cell: 4.848 4.848 4.848 Å, 60.00 60.00 60.00°
Fractional coordinates of all 4 atoms:
In1 0.000 0.000 0.000
Si1 0.500 0.500 0.500
As1 0.250 0.250 0.250
As2 0.750 0.750 0.750

Here is a relaxed structure of InSi2As from Alexandria via LeMat-Bulk. Energies are from PBE.

Density ... 5.3 g/cm3
Energy above the most stable polymorph in this dataset ... 0.376 eV/atom
Calculated total energy ... -16.04 eV for the cell shown
Space group ... F-43m, No. 216

Cell: 4.786 4.786 4.786 Å, 60.00 60.00 60.00°
Fractional coordinates of all 4 atoms:
In1 0.000 0.000 0.000
Si1 0.250 0.250 0.250
Si2 0.500 0.500 0.500
As1 0.750 0.750 0.750

Here is a relaxed structure of InSiAs2 from Alexandria via LeMat-Bulk. Energies are from PBE.

Density ... 4.7 g/cm3
Energy above the most stable polymorph in this dataset ... 0.000 eV/atom
Calculated total energy ... -34.59 eV for the cell shown
Space group ... I-42d, No. 122

Cell: 6.720 6.720 6.720 Å, 122.74 122.74 85.31°
Fractional coordinates of all 8 atoms:
In1 0.000 0.000 0.000
In2 0.750 0.250 0.500
Si1 0.250 0.750 0.500
Si2 0.500 0.500 0.000
As1 0.174 0.625 0.049
As2 0.375 0.424 0.549
As3 0.576 0.125 0.951
As4 0.875 0.826 0.451

Here is a relaxed structure of InSi2As from Alexandria via LeMat-Bulk. Energies are from PBE.

Density ... 5.3 g/cm3
Energy above the most stable polymorph in this dataset ... 0.390 eV/atom
Calculated total energy ... -15.98 eV for the cell shown
Space group ... Fm-3m, No. 225

Cell: 4.779 4.779 4.779 Å, 60.00 60.00 60.00°
Fractional coordinates of all 4 atoms:
In1 0.000 0.000 0.000
Si1 0.250 0.250 0.250
Si2 0.750 0.750 0.750
As1 0.500 0.500 0.500

Here is a relaxed structure of InSiAs2 from Alexandria via LeMat-Bulk. Energies are from PBE.

Density ... 5.9 g/cm3
Energy above the most stable polymorph in this dataset ... 0.273 eV/atom
Calculated total energy ... -16.20 eV for the cell shown
Space group ... P4/mmm, No. 123

Cell: 3.370 3.370 7.256 Å, 90.00 90.00 90.00°
Fractional coordinates of all 4 atoms:
In1 0.000 0.000 0.000
Si1 0.000 0.000 0.500
As1 0.500 0.500 0.311
As2 0.500 0.500 0.689

Here is a relaxed structure of InSi2As from Alexandria via LeMat-Bulk. Energies are from PBE.

Density ... 4.9 g/cm3
Energy above the most stable polymorph in this dataset ... 0.271 eV/atom
Calculated total energy ... -16.46 eV for the cell shown
Space group ... P2/m, No. 10

Cell: 2.885 4.715 6.164 Å, 90.00 93.35 90.00°
Fractional coordinates of all 4 atoms:
In1 0.000 0.000 0.000
Si1 0.275 0.500 0.672
Si2 0.725 0.500 0.328
As1 0.500 0.000 0.500

no.,M_tot (μB per cell),uncorrected formation energy (eV/atom)
1,0.0,0.42
2,0.0,0.55
3,0.0,0.04
4,0.0,0.56
5,0.0,0.31
6,0.0,0.44